A plane-wave DFT calculation with PBE was carried out for a relaxed structure of KErPbI6.

a b c (Å): 8.0873 8.0873 15.4715
angles (deg): 90.00 90.00 120.00
Closest atoms and distances in Å follow each position.
Fractional coordinates of all 18 atoms:
K (0.0000, 0.0000, 0.0000)  6 I 3.62
K (0.0000, 0.0000, 0.5000)  6 I 3.62
Er (0.3333, 0.6667, 0.2500)  6 I 3.03
Er (0.6667, 0.3333, 0.7500)  6 I 3.03
Pb (0.3333, 0.6667, 0.7500)  6 I 3.24
Pb (0.6667, 0.3333, 0.2500)  6 I 3.24
I (0.0210, 0.3753, 0.1348)  1 Er 3.03, 1 Pb 3.24
I (0.0210, 0.6457, 0.3652)  1 Er 3.03, 1 Pb 3.24
I (0.3543, 0.3753, 0.3652)  1 Er 3.03, 1 Pb 3.24
I (0.3543, 0.9790, 0.1348)  1 Er 3.03, 1 Pb 3.24
I (0.3753, 0.0210, 0.6348)  1 Er 3.03, 1 Pb 3.24
I (0.3753, 0.3543, 0.8652)  1 Er 3.03, 1 Pb 3.24
I (0.6247, 0.6457, 0.1348)  1 Er 3.03, 1 Pb 3.24
I (0.6247, 0.9790, 0.3652)  1 Er 3.03, 1 Pb 3.24
I (0.6457, 0.0210, 0.8652)  1 Er 3.03, 1 Pb 3.24
I (0.6457, 0.6247, 0.6348)  1 Er 3.03, 1 Pb 3.24
I (0.9790, 0.3543, 0.6348)  1 Er 3.03, 1 Pb 3.24
I (0.9790, 0.6247, 0.8652)  1 Er 3.03, 1 Pb 3.24

Summary:
**SG**: P-31c
**Total energy**: -3.238 eV/atom
**Uncorrected formation energy**: -1.1640 eV/atom
**Fermi-level density of states**: 0.0000 states/eV/atom